Entry a
Compound: MgCdHRh2
Source: the Alexandria database
Functional: PBE-GGA
Structure: optimized geometry

a = 4.061 Å, b = 4.061 Å, c = 4.025 Å
α = 90.00°, β = 90.00°, γ = 90.00°
Atoms (fractional coordinates):
H1 0.000 0.000 0.000
Mg1 0.000 0.000 0.500
Rh1 0.000 0.500 0.000
Rh2 0.500 0.000 0.000
Cd1 0.500 0.500 0.500

Properties
Symmetry: P4/mmm
Volume, Å³/atom: 13.278

***

Entry b
Compound: MgCdHRh2
Source: the Alexandria database
Functional: PBE-GGA
Structure: optimized geometry

a = 4.075 Å, b = 4.075 Å, c = 4.053 Å
α = 90.00°, β = 90.00°, γ = 90.00°
Atoms (fractional coordinates):
H1 0.000 0.000 0.000
Mg1 0.500 0.500 0.500
Rh1 0.000 0.500 0.000
Rh2 0.500 0.000 0.000
Cd1 0.000 0.000 0.500

Properties
Symmetry: P4/mmm
Volume, Å³/atom: 13.458

***

Most stable of them? entry a.